1.
The following is a DFT calculation (meta-GGA SCAN) of a crystal of ZnPt3 relaxed with PBEsol.

Cell and atoms, written as POSCAR:
```
ZnPt3
1.0
2.755 0.000 0.000
0.000 2.755 0.000
0.000 0.000 7.643
Zn Pt
1 3
Direct
0.000 0.000 0.000
0.000 0.000 0.500
0.500 0.500 0.236
0.500 0.500 0.764
```

- Crystal system: tetragonal
- Total energy: -56.30 eV per atom
- Total moment: 0.000 μB per cell

2.
The following is a DFT calculation (meta-GGA SCAN) of a crystal of ZnPt3 relaxed with PBEsol.

Cell and atoms, written as POSCAR:
```
ZnPt3
1.0
2.744 0.000 0.000
0.000 4.647 0.000
-0.010 0.000 4.641
Zn Pt
1 3
Direct
0.000 0.000 0.000
0.249 0.500 0.249
0.500 0.000 0.500
0.751 0.500 0.751
```

- Crystal system: monoclinic
- Total energy: -56.28 eV per atom
- Total moment: 0.000 μB per cell

3.
The following is a DFT calculation (meta-GGA SCAN) of a crystal of Zn3Pt2 relaxed with PBEsol.

Cell and atoms, written as POSCAR:
```
Zn3Pt2
1.0
4.222 0.000 0.000
-2.111 3.656 0.000
0.000 0.000 5.125
Zn Pt
3 2
Direct
0.000 0.000 0.000
0.333 0.667 0.360
0.667 0.333 0.640
0.333 0.667 0.848
0.667 0.333 0.152
```

- Crystal system: trigonal
- Total energy: -36.66 eV per atom
- Total moment: 0.000 μB per cell

4.
The following is a DFT calculation (meta-GGA SCAN) of a crystal of Zn3Pt relaxed with PBEsol.

Cell and atoms, written as POSCAR:
```
Zn3Pt
1.0
-1.386 4.326 2.313
1.386 -4.326 2.313
1.386 4.326 -2.313
Zn Pt
3 1
Direct
0.000 0.000 0.000
0.090 0.336 0.754
0.581 0.336 0.246
0.508 0.008 0.500
```

- Crystal system: orthorhombic
- Total energy: -28.05 eV per atom
- Total moment: 0.000 μB per cell

5.
The following is a DFT calculation (meta-GGA SCAN) of a crystal of Zn5Pt3 relaxed with PBEsol.

Cell and atoms, written as POSCAR:
```
Zn5Pt3
1.0
3.619 -3.837 0.000
3.619 3.837 0.000
0.000 0.000 4.015
Zn Pt
5 3
Direct
0.000 0.000 0.000
0.000 0.500 0.000
0.279 0.721 0.500
0.500 0.000 0.000
0.721 0.279 0.500
0.216 0.216 0.500
0.500 0.500 0.000
0.784 0.784 0.500
```

- Crystal system: orthorhombic
- Total energy: -35.29 eV per atom
- Total moment: 0.000 μB per cell

6.
The following is a DFT calculation (meta-GGA SCAN) of a crystal of Zn2Pt relaxed with PBEsol.

Cell and atoms, written as POSCAR:
```
Zn2Pt
1.0
-1.401 1.401 5.419
1.401 -1.401 5.419
1.401 1.401 -5.419
Zn Pt
2 1
Direct
0.162 0.162 0.000
0.838 0.838 0.000
0.500 0.500 0.000
```

- Crystal system: tetragonal
- Total energy: -32.77 eV per atom
- Total moment: 0.000 μB per cell

> Which value of total energy does entry 1 give?

-56.30 eV per atom

> Which of these has the lowest total energy?

number 1

> Which formula does entry 1 have?

ZnPt3